The following is a GGA-PBE calculation of a relaxed structure of CoTe2P, from Alexandria.

Cell and atoms, written as POSCAR:
```
CoTe2P
1.0
3.784 -1.790 0.000
3.784 1.790 0.000
-2.342 0.000 6.960
Co Te P
1 2 1
Direct
0.000 0.000 0.000
0.419 0.419 0.721
0.590 0.590 0.280
0.294 0.294 0.000
```

Calculated values
- theoretical density (g cm⁻³) = 6.08
- magnetic moment (μB per formula unit) = 0.2
- crystal system = monoclinic
- energy relative to the elements, uncorrected (eV per atom) = -0.03